Compound: LaZrMo2
Source: Alexandria
Functional: PBEsol
Structure: optimized geometry

Values from the calculation:
M_tot, μB/cell: 0.00
Energy relative to the lowest polymorph listed for this composition, meV per atom: 66.0
Formation energy from the elements, eV/atom: 0.418
Symmetry: No. 123

a b c (Å): 3.663 3.663 6.665
angles (deg): 90.00 90.00 90.00
Sites, in units of the cell vectors:
La: 0.500 0.500 0.500
Mo: 0.000 0.000 0.823
Mo: 0.000 0.000 0.177
Zr: 0.500 0.500 0.000